(1)
Density functional theory data (GGA-PBE) for crystalline Mg6TlHg6 at its relaxed geometry.

a = 6.2169 Å, b = 6.2169 Å, c = 9.3993 Å
α = 90.00°, β = 90.00°, γ = 120.02°
With the nearest neighbours (Å) after each atom.
Atoms (fractional coordinates):
Mg (0.0000, 0.0000, 0.6657)  1 Mg 3.12, 1 Tl 3.14, 6 Hg 3.20
Mg (0.0000, 0.0000, 0.3342)  1 Mg 3.12, 1 Tl 3.14, 6 Hg 3.20
Mg (0.3334, 0.6666, 0.0000)  6 Hg 2.97
Mg (0.6666, 0.3334, 0.0000)  6 Hg 2.97
Mg (0.3334, 0.6666, 0.5000)  6 Hg 2.95
Mg (0.6666, 0.3334, 0.5000)  6 Hg 2.95
Tl (0.0000, 0.0000, 0.0000)  2 Mg 3.14
Hg (0.0000, 0.5000, 0.7485)  6 Mg 2.95-3.20, 4 Hg 3.11
Hg (0.5000, 0.0000, 0.7485)  6 Mg 2.95-3.20, 4 Hg 3.11
Hg (0.5000, 0.5000, 0.7486)  6 Mg 2.95-3.20, 4 Hg 3.11
Hg (0.5000, 0.0000, 0.2515)  6 Mg 2.95-3.20, 4 Hg 3.11
Hg (0.0000, 0.5000, 0.2515)  6 Mg 2.95-3.20, 4 Hg 3.11
Hg (0.5000, 0.5000, 0.2514)  6 Mg 2.95-3.20, 4 Hg 3.11

**Total DFT energy (no corrections)**: -14.649 eV/cell
**DOS at the Fermi energy**: 5.20 states/eV/cell
**ΔE_f**: -70 meV/atom

(2)
Density functional theory data (GGA-PBE) for crystalline MgTlHg2 at its relaxed geometry.

a = 3.4805 Å, b = 4.2948 Å, c = 6.8056 Å
α = 90.00°, β = 90.00°, γ = 90.00°
With the nearest neighbours (Å) after each atom.
Atoms (fractional coordinates):
Mg (0.0000, 0.0000, 0.4679)  5 Hg 3.07-3.11, 4 Tl 3.36
Tl (0.5000, 0.5000, 0.7497)  6 Hg 3.25-3.55, 4 Mg 3.36, 2 Tl 3.48
Hg (0.0000, 0.0000, 0.0106)  1 Mg 3.11, 4 Tl 3.29, 6 Hg 3.29-3.48
Hg (0.5000, 0.5000, 0.2717)  4 Mg 3.07, 1 Tl 3.25, 4 Hg 3.29

**Total DFT energy (no corrections)**: -4.744 eV/cell
**DOS at the Fermi energy**: 1.25 states/eV/cell
**ΔE_f**: -45 meV/atom

(3)
Density functional theory data (GGA-PBE) for crystalline Mg2Tl3Hg6 at its relaxed geometry.

a = 9.1478 Å, b = 9.1468 Å, c = 9.1469 Å
α = 109.47°, β = 109.47°, γ = 109.47°
With the nearest neighbours (Å) after each atom.
Atoms (fractional coordinates):
Mg (0.0000, 0.5000, 0.0000)  6 Hg 2.93
Mg (0.5000, 0.0000, 0.0000)  6 Hg 2.93
Mg (0.0000, 0.0000, 0.5000)  6 Hg 2.93
Mg (0.5000, 0.5000, 0.5000)  6 Hg 2.93
Tl (0.7476, 0.0000, 0.7476)  8 Hg 3.59-3.65, 4 Mg 3.73, 4 Tl 3.77
Tl (0.2524, 0.0000, 0.2524)  8 Hg 3.59-3.65, 4 Mg 3.73, 4 Tl 3.77
Tl (0.0000, 0.2524, 0.2524)  8 Hg 3.59-3.65, 4 Mg 3.73, 4 Tl 3.77
Tl (0.0000, 0.7476, 0.7476)  8 Hg 3.59-3.65, 4 Mg 3.73, 4 Tl 3.77
Tl (0.2524, 0.2524, 0.0000)  8 Hg 3.59-3.65, 4 Mg 3.73, 4 Tl 3.77
Tl (0.7476, 0.7476, 0.0000)  8 Hg 3.59-3.65, 4 Mg 3.73, 4 Tl 3.77
Hg (0.6643, 0.3286, 0.6643)  2 Mg 2.93, 4 Hg 3.05
Hg (0.6643, 0.0000, 0.3357)  2 Mg 2.93, 4 Hg 3.05
Hg (0.3357, 0.0000, 0.6643)  2 Mg 2.93, 4 Hg 3.05
Hg (0.3357, 0.6714, 0.3357)  2 Mg 2.93, 4 Hg 3.05
Hg (0.0000, 0.6643, 0.3357)  2 Mg 2.93, 4 Hg 3.05
Hg (0.6713, 0.3357, 0.3357)  2 Mg 2.93, 4 Hg 3.05
Hg (0.3287, 0.6643, 0.6643)  2 Mg 2.93, 4 Hg 3.05
Hg (0.0000, 0.3357, 0.6643)  2 Mg 2.93, 4 Hg 3.05
Hg (0.3357, 0.6643, 0.0000)  2 Mg 2.93, 4 Hg 3.05
Hg (0.6643, 0.6643, 0.3286)  2 Mg 2.93, 4 Hg 3.05
Hg (0.3357, 0.3357, 0.6714)  2 Mg 2.93, 4 Hg 3.05
Hg (0.6643, 0.3357, 0.0000)  2 Mg 2.93, 4 Hg 3.05

**Total DFT energy (no corrections)**: -24.443 eV/cell
**DOS at the Fermi energy**: 7.06 states/eV/cell
**ΔE_f**: -11 meV/atom

(4)
Density functional theory data (GGA-PBE) for crystalline Mg3TlHg10 at its relaxed geometry.

a = 10.2525 Å, b = 10.2525 Å, c = 10.2525 Å
α = 60.00°, β = 60.00°, γ = 60.00°
With the nearest neighbours (Å) after each atom.
Atoms (fractional coordinates):
Mg (0.7206, 0.7206, 0.2794)  8 Hg 2.93-2.94
Mg (0.7206, 0.2794, 0.7206)  8 Hg 2.93-2.94
Mg (0.2794, 0.7206, 0.7206)  8 Hg 2.93-2.94
Mg (0.2794, 0.2794, 0.7206)  8 Hg 2.93-2.94
Mg (0.7206, 0.2794, 0.2794)  8 Hg 2.93-2.94
Mg (0.2794, 0.7206, 0.2794)  8 Hg 2.93-2.94
Tl (0.2500, 0.2500, 0.2500)  4 Hg 3.08
Tl (0.7500, 0.7500, 0.7500)  4 Hg 3.08
Hg (0.0000, 0.0000, 0.3391)  2 Mg 2.93
Hg (0.0000, 0.3391, 0.0000)  2 Mg 2.93
Hg (0.3391, 0.0000, 0.0000)  2 Mg 2.93
Hg (0.6609, 0.3391, 0.0000)  2 Mg 2.93
Hg (0.3728, 0.3728, 0.3728)  3 Mg 2.94, 1 Tl 3.08
Hg (0.1184, 0.6272, 0.6272)  3 Mg 2.94, 1 Tl 3.08
Hg (0.3728, 0.8816, 0.3728)  3 Mg 2.94, 1 Tl 3.08
Hg (0.6609, 0.0000, 0.3391)  2 Mg 2.93
Hg (0.3728, 0.3728, 0.8816)  3 Mg 2.94, 1 Tl 3.08
Hg (0.8816, 0.3728, 0.3728)  3 Mg 2.94, 1 Tl 3.08
Hg (0.6272, 0.6272, 0.1184)  3 Mg 2.94, 1 Tl 3.08
Hg (0.0000, 0.0000, 0.6609)  2 Mg 2.93
Hg (0.3391, 0.6609, 0.0000)  2 Mg 2.93
Hg (0.0000, 0.6609, 0.3391)  2 Mg 2.93
Hg (0.0000, 0.3391, 0.6609)  2 Mg 2.93
Hg (0.6609, 0.0000, 0.0000)  2 Mg 2.93
Hg (0.6272, 0.6272, 0.6272)  3 Mg 2.94, 1 Tl 3.08
Hg (0.0000, 0.6609, 0.0000)  2 Mg 2.93
Hg (0.6272, 0.1184, 0.6272)  3 Mg 2.94, 1 Tl 3.08
Hg (0.3391, 0.0000, 0.6609)  2 Mg 2.93

**Total DFT energy (no corrections)**: -21.518 eV/cell
**DOS at the Fermi energy**: 9.86 states/eV/cell
**ΔE_f**: -42 meV/atom

(5)
Density functional theory data (GGA-PBE) for crystalline Mg12Tl5Hg2 at its relaxed geometry.

a = 6.3393 Å, b = 8.9639 Å, c = 9.7813 Å
α = 105.69°, β = 90.00°, γ = 110.71°
With the nearest neighbours (Å) after each atom.
Atoms (fractional coordinates):
Mg (0.0858, 0.1717, 0.2758)  1 Tl 2.95, 2 Mg 3.11, 2 Hg 3.12
Mg (0.0592, 0.6265, 0.8935)  3 Tl 2.88-3.00, 1 Hg 3.00, 3 Mg 3.11-3.22
Mg (0.5673, 0.6265, 0.8935)  3 Tl 2.88-3.00, 1 Hg 3.00, 3 Mg 3.11-3.22
Mg (0.0976, 0.6943, 0.4010)  4 Tl 2.93-2.99, 2 Mg 3.16-3.18
Mg (0.5967, 0.6943, 0.4010)  4 Tl 2.93-2.99, 2 Mg 3.16-3.18
Mg (0.4877, 0.9754, 0.6641)  2 Tl 2.88-2.93
Mg (0.5123, 0.0246, 0.3359)  2 Tl 2.88-2.93
Mg (0.9024, 0.3057, 0.5990)  4 Tl 2.93-2.99, 2 Mg 3.16-3.18
Mg (0.4033, 0.3057, 0.5990)  4 Tl 2.93-2.99, 2 Mg 3.16-3.18
Mg (0.9408, 0.3735, 0.1065)  3 Tl 2.88-3.00, 1 Hg 3.00, 3 Mg 3.11-3.22
Mg (0.4327, 0.3735, 0.1065)  3 Tl 2.88-3.00, 1 Hg 3.00, 3 Mg 3.11-3.22
Mg (0.9142, 0.8283, 0.7242)  1 Tl 2.95, 2 Mg 3.11, 2 Hg 3.12
Tl (0.3087, 0.6174, 0.6331)  7 Mg 2.93-3.00
Tl (0.3449, 0.6899, 0.1475)  7 Mg 2.88-3.00
Tl (0.0000, 0.0000, 0.5000)  6 Mg 2.93-2.95
Tl (0.6551, 0.3101, 0.8525)  7 Mg 2.88-3.00
Tl (0.6913, 0.3826, 0.3669)  7 Mg 2.93-3.00
Hg (0.7448, 0.0000, 0.0000)  4 Mg 3.00-3.12, 2 Hg 3.10-3.24
Hg (0.2552, 0.0000, 0.0000)  4 Mg 3.00-3.12, 2 Hg 3.10-3.24

**Total DFT energy (no corrections)**: -30.660 eV/cell
**Energy above the lowest structure with this stoichiometry**: 1.74 eV/f.u.
**DOS at the Fermi energy**: 6.93 states/eV/cell
**ΔE_f**: 48 meV/atom

(6)
Density functional theory data (GGA-PBE) for crystalline Mg3Tl2Hg2 at its relaxed geometry.

a = 4.9437 Å, b = 5.3032 Å, c = 8.6648 Å
α = 90.54°, β = 116.98°, γ = 118.16°
With the nearest neighbours (Å) after each atom.
Atoms (fractional coordinates):
Mg (0.0000, 0.0000, 0.0000)  2 Hg 2.93, 6 Tl 3.14-3.27
Mg (0.3398, 0.1696, 0.7090)  4 Hg 2.99-3.16, 4 Tl 3.11-3.27, 1 Mg 3.28
Mg (0.6602, 0.8304, 0.2910)  4 Hg 2.99-3.16, 4 Tl 3.11-3.27, 1 Mg 3.28
Tl (0.8271, 0.4121, 0.1500)  7 Mg 3.11-3.27, 2 Hg 3.31-3.45
Tl (0.1729, 0.5879, 0.8500)  7 Mg 3.11-3.27, 2 Hg 3.31-3.45
Hg (0.4466, 0.2250, 0.3952)  5 Mg 2.93-3.16, 2 Hg 3.11
Hg (0.5534, 0.7750, 0.6048)  5 Mg 2.93-3.16, 2 Hg 3.11

**Total DFT energy (no corrections)**: -10.588 eV/cell
**DOS at the Fermi energy**: 1.97 states/eV/cell
**ΔE_f**: -67 meV/atom

(7)
Density functional theory data (GGA-PBE) for crystalline Mg5Tl4Hg at its relaxed geometry.

a = 3.5636 Å, b = 3.5636 Å, c = 18.9991 Å
α = 90.00°, β = 90.00°, γ = 90.00°
With the nearest neighbours (Å) after each atom.
Atoms (fractional coordinates):
Mg (0.5000, 0.5000, 0.0889)  4 Hg 3.03, 4 Tl 3.20, 1 Mg 3.38
Mg (0.5000, 0.5000, 0.2936)  8 Tl 3.17-3.20
Mg (0.5000, 0.5000, 0.5000)  8 Tl 3.19, 4 Mg 3.56
Mg (0.5000, 0.5000, 0.7064)  8 Tl 3.17-3.20
Mg (0.5000, 0.5000, 0.9111)  4 Hg 3.03, 4 Tl 3.20, 1 Mg 3.38
Tl (0.0000, 0.0000, 0.1924)  8 Mg 3.17-3.20
Tl (0.0000, 0.0000, 0.3973)  8 Mg 3.19-3.20, 4 Tl 3.56
Tl (0.0000, 0.0000, 0.6027)  8 Mg 3.19-3.20, 4 Tl 3.56
Tl (0.0000, 0.0000, 0.8076)  8 Mg 3.17-3.20
Hg (0.0000, 0.0000, 0.0000)  8 Mg 3.03

**Total DFT energy (no corrections)**: -18.524 eV/cell
**DOS at the Fermi energy**: 2.81 states/eV/cell
**ΔE_f**: -78 meV/atom

(8)
Density functional theory data (GGA-PBE) for crystalline Mg8Tl3Hg2 at its relaxed geometry.

a = 6.0408 Å, b = 6.0408 Å, c = 11.0388 Å
α = 74.12°, β = 74.12°, γ = 60.00°
With the nearest neighbours (Å) after each atom.
Atoms (fractional coordinates):
Mg (0.2830, 0.2830, 0.1510)  1 Hg 2.72, 1 Tl 2.91
Mg (0.7170, 0.7170, 0.8490)  1 Hg 2.72, 1 Tl 2.91
Mg (0.2759, 0.7771, 0.6712)  1 Hg 2.89, 4 Mg 3.01-3.03, 3 Tl 3.08-3.20
Mg (0.7771, 0.2759, 0.6712)  1 Hg 2.89, 4 Mg 3.01-3.03, 3 Tl 3.08-3.20
Mg (0.2759, 0.2759, 0.6712)  1 Hg 2.89, 4 Mg 3.01-3.03, 3 Tl 3.08-3.20
Mg (0.2229, 0.7241, 0.3288)  1 Hg 2.89, 4 Mg 3.01-3.03, 3 Tl 3.08-3.20
Mg (0.7241, 0.2229, 0.3288)  1 Hg 2.89, 4 Mg 3.01-3.03, 3 Tl 3.08-3.20
Mg (0.7241, 0.7241, 0.3288)  1 Hg 2.89, 4 Mg 3.01-3.03, 3 Tl 3.08-3.20
Tl (0.0000, 0.0000, 0.0000)  6 Hg 3.67, 12 Mg 3.83-3.86
Tl (0.1905, 0.1905, 0.4285)  10 Mg 2.91-3.20
Tl (0.8095, 0.8095, 0.5715)  10 Mg 2.91-3.20
Hg (0.3696, 0.3696, 0.8911)  4 Mg 2.72-2.89
Hg (0.6304, 0.6304, 0.1089)  4 Mg 2.72-2.89

**Total DFT energy (no corrections)**: -20.315 eV/cell
**DOS at the Fermi energy**: 5.46 states/eV/cell
**ΔE_f**: 11 meV/atom

(9)
Density functional theory data (GGA-PBE) for crystalline MgTl3Hg7 at its relaxed geometry.

a = 6.8779 Å, b = 6.8779 Å, c = 7.6478 Å
α = 72.82°, β = 72.82°, γ = 92.28°
With the nearest neighbours (Å) after each atom.
Atoms (fractional coordinates):
Mg (0.9379, 0.9379, 0.0756)  7 Hg 2.86-3.05
Tl (0.8277, 0.2077, 0.5258)  7 Hg 3.17-3.51, 1 Tl 3.42
Tl (0.4858, 0.4858, 0.7353)  5 Hg 3.14-3.45, 2 Tl 3.42
Tl (0.2077, 0.8277, 0.5258)  7 Hg 3.17-3.51, 1 Tl 3.42
Hg (0.2131, 0.2131, 0.1537)  1 Mg 2.93, 2 Hg 2.99, 3 Tl 3.15-3.26
Hg (0.6141, 0.1514, 0.2260)  1 Mg 2.86, 3 Hg 2.99-3.16, 1 Tl 3.17
Hg (0.9651, 0.3696, 0.8280)  1 Mg 2.98, 2 Hg 3.12-3.16, 2 Tl 3.19-3.32
Hg (0.1514, 0.6141, 0.2260)  1 Mg 2.86, 3 Hg 2.99-3.16, 1 Tl 3.17
Hg (0.5844, 0.5844, 0.2817)  3 Hg 3.04-3.14, 1 Mg 3.05, 1 Tl 3.18
Hg (0.3696, 0.9651, 0.8280)  1 Mg 2.98, 2 Hg 3.12-3.16, 2 Tl 3.19-3.32
Hg (0.7681, 0.7681, 0.8441)  1 Mg 2.86, 3 Hg 3.04-3.12, 3 Tl 3.14-3.19

**Total DFT energy (no corrections)**: -10.736 eV/cell
**DOS at the Fermi energy**: 3.18 states/eV/cell
**ΔE_f**: 6 meV/atom

(10)
Density functional theory data (GGA-PBE) for crystalline MgTl4Hg7 at its relaxed geometry.

a = 3.5015 Å, b = 3.5015 Å, c = 31.2009 Å
α = 90.00°, β = 90.00°, γ = 120.00°
With the nearest neighbours (Å) after each atom.
Atoms (fractional coordinates):
Mg (0.0000, 0.0000, 0.5000)  6 Hg 2.97
Tl (0.3333, 0.6667, 0.9102)  6 Hg 3.39-3.46, 6 Tl 3.50
Tl (0.6667, 0.3333, 0.0898)  6 Hg 3.39-3.46, 6 Tl 3.50
Tl (0.3333, 0.6667, 0.6542)  6 Hg 3.33-3.41, 6 Tl 3.50
Tl (0.6667, 0.3333, 0.3458)  6 Hg 3.33-3.41, 6 Tl 3.50
Hg (0.0000, 0.0000, 0.0000)  6 Tl 3.46, 6 Hg 3.50
Hg (0.3333, 0.6667, 0.4304)  3 Mg 2.97
Hg (0.6667, 0.3333, 0.5696)  3 Mg 2.97
Hg (0.3333, 0.6667, 0.1769)  9 Hg 3.23-3.50, 3 Tl 3.39
Hg (0.6667, 0.3333, 0.8231)  9 Hg 3.23-3.50, 3 Tl 3.39
Hg (0.0000, 0.0000, 0.7422)  9 Hg 3.23-3.50, 3 Tl 3.41
Hg (0.0000, 0.0000, 0.2578)  9 Hg 3.23-3.50, 3 Tl 3.41

**Total DFT energy (no corrections)**: -13.501 eV/cell
**DOS at the Fermi energy**: 5.39 states/eV/cell
**ΔE_f**: -27 meV/atom

(11)
Density functional theory data (GGA-PBE) for crystalline MgTl2Hg5 at its relaxed geometry.

a = 6.5318 Å, b = 6.5353 Å, c = 6.5299 Å
α = 108.86°, β = 112.95°, γ = 106.65°
With the nearest neighbours (Å) after each atom.
Atoms (fractional coordinates):
Mg (0.9989, 0.7411, 0.7425)  9 Hg 3.11-3.34
Tl (0.4976, 0.7694, 0.2699)  8 Hg 3.26-3.29, 2 Mg 3.61-3.62
Tl (0.5026, 0.2786, 0.7775)  10 Hg 3.25-3.64
Hg (0.0037, 0.8007, 0.2568)  4 Hg 3.24-3.53, 2 Mg 3.24-3.33, 4 Tl 3.26-3.30
Hg (0.4559, 0.2501, 0.2537)  4 Hg 3.24-3.53, 2 Mg 3.24-3.33, 4 Tl 3.25-3.30
Hg (0.5442, 0.7997, 0.7959)  2 Mg 3.23-3.33, 4 Hg 3.24-3.53, 4 Tl 3.25-3.30
Hg (0.9964, 0.2486, 0.7931)  2 Mg 3.23-3.34, 4 Hg 3.24-3.53, 4 Tl 3.25-3.30
Hg (0.0007, 0.3347, 0.3336)  1 Mg 3.11, 8 Hg 3.24-3.38

**Total DFT energy (no corrections)**: -8.110 eV/cell
**Energy above the lowest structure with this stoichiometry**: 0.03 eV/f.u.
**DOS at the Fermi energy**: 1.04 states/eV/cell
**ΔE_f**: -34 meV/atom

(12)
Density functional theory data (GGA-PBE) for crystalline Mg2TlHg6 at its relaxed geometry.

a = 4.6035 Å, b = 4.6035 Å, c = 12.2760 Å
α = 100.81°, β = 100.81°, γ = 90.00°
With the nearest neighbours (Å) after each atom.
Atoms (fractional coordinates):
Mg (0.3262, 0.3262, 0.6523)  8 Hg 2.92-2.93
Mg (0.6738, 0.6738, 0.3477)  8 Hg 2.92-2.93
Tl (0.0000, 0.0000, 0.0000)  8 Hg 3.26
Hg (0.9027, 0.4027, 0.8053)  2 Mg 2.93, 4 Hg 3.26, 2 Tl 3.26
Hg (0.4027, 0.9027, 0.8053)  2 Mg 2.93, 4 Hg 3.26, 2 Tl 3.26
Hg (0.0973, 0.5973, 0.1947)  2 Mg 2.93, 4 Hg 3.26, 2 Tl 3.26
Hg (0.7500, 0.2500, 0.5000)  4 Mg 2.92, 4 Hg 3.26
Hg (0.2500, 0.7500, 0.5000)  4 Mg 2.92, 4 Hg 3.26
Hg (0.5973, 0.0973, 0.1947)  2 Mg 2.93, 4 Hg 3.26, 2 Tl 3.26

**Total DFT energy (no corrections)**: -7.608 eV/cell
**Energy above the lowest structure with this stoichiometry**: 0.41 eV/f.u.
**DOS at the Fermi energy**: 2.83 states/eV/cell
**ΔE_f**: -27 meV/atom